Record 1
# Rb3CuHg2Cl9 PBE-GGA optimized geometry
# Fermi-level density of states, states/eV/atom: 0.31
# Formation energy from raw total energies, eV/atom: -1.102
# Space group: P-3m1 (164)
# Volume, Å³ per atom: 28.1
data_Rb3CuHg2Cl9
_cell_length_a 7.346
_cell_length_b 7.346
_cell_length_c 9.029
_cell_angle_alpha 90.00
_cell_angle_beta 90.00
_cell_angle_gamma 120.00
_symmetry_space_group_name_H-M 'P 1'
_symmetry_Int_Tables_number 1
loop_
_symmetry_equiv_pos_as_xyz
'x,y,z'
loop_
_atom_site_label
_atom_site_type_symbol
_atom_site_fract_x
_atom_site_fract_y
_atom_site_fract_z
_atom_site_occupancy
Cl1 Cl 0.158 0.842 0.344 1
Cl2 Cl 0.684 0.842 0.344 1
Cl3 Cl 0.158 0.316 0.344 1
Cl4 Cl 0.500 0.500 0.000 1
Cl5 Cl 0.842 0.684 0.656 1
Cl6 Cl 0.500 0.000 0.000 1
Cl7 Cl 0.316 0.158 0.656 1
Cl8 Cl 0.000 0.500 0.000 1
Cl9 Cl 0.842 0.158 0.656 1
Hg1 Hg 0.333 0.667 0.182 1
Hg2 Hg 0.667 0.333 0.818 1
Rb1 Rb 0.000 0.000 0.000 1
Rb2 Rb 0.333 0.667 0.666 1
Rb3 Rb 0.667 0.333 0.334 1
Cu1 Cu 0.000 0.000 0.500 1

=====

Record 2
# Li2CeZn2Au2 PBE-GGA optimized geometry
# Fermi-level density of states, states/eV/atom: 1.24
# Energy of formation from the pure elements, eV/atom: -0.45
# Space group: C2/m (12)
# Volume, Å³ per atom: 19.1
data_Li2CeZn2Au2
_cell_length_a 4.540
_cell_length_b 4.538
_cell_length_c 7.955
_cell_angle_alpha 106.61
_cell_angle_beta 90.00
_cell_angle_gamma 120.01
_symmetry_space_group_name_H-M 'P 1'
_symmetry_Int_Tables_number 1
loop_
_symmetry_equiv_pos_as_xyz
'x,y,z'
loop_
_atom_site_label
_atom_site_type_symbol
_atom_site_fract_x
_atom_site_fract_y
_atom_site_fract_z
_atom_site_occupancy
Li1 Li 0.859 0.718 0.577 1
Li2 Li 0.141 0.282 0.423 1
Zn1 Zn 0.573 0.146 0.718 1
Zn2 Zn 0.427 0.854 0.282 1
Au1 Au 0.256 0.513 0.768 1
Au2 Au 0.744 0.487 0.232 1
Ce1 Ce 0.000 0.000 0.000 1

=====

Record 3
# MnCo2Ru PBE-GGA optimized geometry
# Fermi-level density of states, states/eV/atom: 1.18
# Energy of formation from the pure elements, eV/atom: 0.11
# Space group: Cmmm (65)
# Volume, Å³ per atom: 11.7
data_MnCo2Ru
_cell_length_a 4.392
_cell_length_b 4.392
_cell_length_c 2.570
_cell_angle_alpha 90.00
_cell_angle_beta 90.00
_cell_angle_gamma 109.47
_symmetry_space_group_name_H-M 'P 1'
_symmetry_Int_Tables_number 1
loop_
_symmetry_equiv_pos_as_xyz
'x,y,z'
loop_
_atom_site_label
_atom_site_type_symbol
_atom_site_fract_x
_atom_site_fract_y
_atom_site_fract_z
_atom_site_occupancy
Co1 Co 0.500 0.500 0.000 1
Co2 Co 0.000 0.000 0.000 1
Ru1 Ru 0.000 0.500 0.500 1
Mn1 Mn 0.500 0.000 0.500 1

=====

Record 4
# Ni7Sb2As2Pt PBE-GGA optimized geometry
# Fermi-level density of states, states/eV/atom: 1.01
# Formation energy from raw total energies, eV/atom: -0.148
# Space group: C2/m (12)
# Volume, Å³ per atom: 15.8
data_Ni7Sb2As2Pt
_cell_length_a 3.637
_cell_length_b 3.637
_cell_length_c 14.607
_cell_angle_alpha 82.76
_cell_angle_beta 82.76
_cell_angle_gamma 89.99
_symmetry_space_group_name_H-M 'P 1'
_symmetry_Int_Tables_number 1
loop_
_symmetry_equiv_pos_as_xyz
'x,y,z'
loop_
_atom_site_label
_atom_site_type_symbol
_atom_site_fract_x
_atom_site_fract_y
_atom_site_fract_z
_atom_site_occupancy
Ni1 Ni 0.696 0.696 0.607 1
Ni2 Ni 0.304 0.304 0.393 1
Ni3 Ni 0.066 0.566 0.870 1
Ni4 Ni 0.566 0.066 0.870 1
Ni5 Ni 0.434 0.934 0.130 1
Ni6 Ni 0.500 0.500 0.000 1
Ni7 Ni 0.934 0.434 0.130 1
Sb1 Sb 0.212 0.212 0.575 1
Sb2 Sb 0.788 0.788 0.425 1
Pt1 Pt 0.000 0.000 0.000 1
As1 As 0.617 0.617 0.768 1
As2 As 0.383 0.383 0.232 1

=====

Record 5
# K2OsRh PBE-GGA optimized geometry
# Fermi-level density of states, states/eV/atom: 0.94
# Energy of formation from the pure elements, eV/atom: 1.12
# Space group: P4/mmm (123)
# Volume, Å³ per atom: 20.6
data_K2OsRh
_cell_length_a 2.736
_cell_length_b 2.736
_cell_length_c 11.001
_cell_angle_alpha 90.00
_cell_angle_beta 90.00
_cell_angle_gamma 90.00
_symmetry_space_group_name_H-M 'P 1'
_symmetry_Int_Tables_number 1
loop_
_symmetry_equiv_pos_as_xyz
'x,y,z'
loop_
_atom_site_label
_atom_site_type_symbol
_atom_site_fract_x
_atom_site_fract_y
_atom_site_fract_z
_atom_site_occupancy
Rh1 Rh 0.500 0.500 0.750 1
K1 K 0.000 0.000 0.995 1
K2 K 0.000 0.000 0.505 1
Os1 Os 0.500 0.500 0.250 1

=====

Record 6
# TbPm6SmSc2 PBE-GGA optimized geometry
# Fermi-level density of states, states/eV/atom: 1.58
# Energy of formation from the pure elements, eV/atom: 0.12
# Space group: C2/c (15)
# Volume, Å³ per atom: 32.3
data_TbPm6SmSc2
_cell_length_a 9.582
_cell_length_b 8.761
_cell_length_c 8.761
_cell_angle_alpha 117.36
_cell_angle_beta 94.33
_cell_angle_gamma 94.33
_symmetry_space_group_name_H-M 'P 1'
_symmetry_Int_Tables_number 1
loop_
_symmetry_equiv_pos_as_xyz
'x,y,z'
loop_
_atom_site_label
_atom_site_type_symbol
_atom_site_fract_x
_atom_site_fract_y
_atom_site_fract_z
_atom_site_occupancy
Pm1 Pm 0.381 0.506 0.300 1
Pm2 Pm 0.819 0.439 0.985 1
Pm3 Pm 0.446 0.239 0.893 1
Pm4 Pm 0.054 0.107 0.761 1
Pm5 Pm 0.619 0.494 0.700 1
Pm6 Pm 0.681 0.015 0.561 1
Pm7 Pm 0.881 0.300 0.506 1
Pm8 Pm 0.946 0.893 0.239 1
Pm9 Pm 0.181 0.561 0.015 1
Pm10 Pm 0.319 0.985 0.439 1
Pm11 Pm 0.554 0.761 0.107 1
Pm12 Pm 0.119 0.700 0.494 1
Tb1 Tb 0.750 0.030 0.970 1
Tb2 Tb 0.250 0.970 0.030 1
Sc1 Sc 0.049 0.293 0.196 1
Sc2 Sc 0.951 0.707 0.804 1
Sc3 Sc 0.451 0.804 0.707 1
Sc4 Sc 0.549 0.196 0.293 1
Sm1 Sm 0.250 0.406 0.594 1
Sm2 Sm 0.750 0.594 0.406 1

=====

Record 7
# PrIrPt PBE-GGA optimized geometry
# Fermi-level density of states, states/eV/atom: 0.70
# Energy of formation from the pure elements, eV/atom: -0.83
# Space group: Imma (74)
# Volume, Å³ per atom: 19.6
data_PrIrPt
_cell_length_a 5.499
_cell_length_b 5.499
_cell_length_c 5.499
_cell_angle_alpha 89.74
_cell_angle_beta 120.06
_cell_angle_gamma 120.24
_symmetry_space_group_name_H-M 'P 1'
_symmetry_Int_Tables_number 1
loop_
_symmetry_equiv_pos_as_xyz
'x,y,z'
loop_
_atom_site_label
_atom_site_type_symbol
_atom_site_fract_x
_atom_site_fract_y
_atom_site_fract_z
_atom_site_occupancy
Ir1 Ir 0.000 0.500 0.000 1
Ir2 Ir 0.500 0.500 0.500 1
Pt1 Pt 0.000 0.500 0.500 1
Pt2 Pt 0.500 0.000 0.500 1
Pr1 Pr 0.250 0.126 0.876 1
Pr2 Pr 0.750 0.874 0.124 1

=====

Record 8
# MgAgW PBE-GGA optimized geometry
# Fermi-level density of states, states/eV/atom: 1.21
# Energy of formation from the pure elements, eV/atom: 1.24
# Space group: F-43m (216)
# Volume, Å³ per atom: 20.2
data_MgAgW
_cell_length_a 4.408
_cell_length_b 4.408
_cell_length_c 4.408
_cell_angle_alpha 60.00
_cell_angle_beta 60.00
_cell_angle_gamma 60.00
_symmetry_space_group_name_H-M 'P 1'
_symmetry_Int_Tables_number 1
loop_
_symmetry_equiv_pos_as_xyz
'x,y,z'
loop_
_atom_site_label
_atom_site_type_symbol
_atom_site_fract_x
_atom_site_fract_y
_atom_site_fract_z
_atom_site_occupancy
Mg1 Mg 0.000 0.000 0.000 1
Ag1 Ag 0.750 0.750 0.750 1
W1 W 0.500 0.500 0.500 1